(1)
Pm3ReC4 | PBE-GGA | optimized geometry

Cell lengths 7.8951, 6.9897, 5.4525 Å; angles 90.00, 90.00, 90.00 degrees
Fractional positions:
Pm 0.0000 0.1370 0.0000
Pm 0.2473 0.3295 0.4988
Pm 0.2527 0.6705 0.9988
Pm 0.5000 0.8630 0.5000
Pm 0.7473 0.6705 0.9988
Pm 0.7527 0.3295 0.4988
Re 0.0000 0.8233 0.4667
Re 0.5000 0.1767 0.9667
C 0.0000 0.1008 0.5216
C 0.0000 0.8163 0.1194
C 0.2139 0.6888 0.5376
C 0.2861 0.3112 0.0376
C 0.5000 0.1837 0.6194
C 0.5000 0.8992 0.0216
C 0.7139 0.3112 0.0376
C 0.7861 0.6888 0.5376

## Properties
Total magnetization in μB/cell: 0.0
Energy of formation in eV/atom: -0.016

(2)
LaBeIr3 | PBE-GGA | optimized geometry

Cell lengths 4.3527, 4.3527, 4.3527 Å; angles 90.00, 90.00, 90.00 degrees
Fractional positions:
La 0.0000 0.0000 0.0000
Be 0.5000 0.5000 0.5000
Ir 0.0000 0.5000 0.5000
Ir 0.5000 0.0000 0.5000
Ir 0.5000 0.5000 0.0000

## Properties
Total magnetization in μB/cell: 0.0
Energy of formation in eV/atom: -0.350

(3)
LiNdAl3 | PBE-GGA | optimized geometry

Cell lengths 13.4284, 13.4284, 4.5732 Å; angles 90.00, 90.00, 164.81 degrees
Fractional positions:
Li 0.2127 0.7873 0.7500
Li 0.7873 0.2127 0.2500
Nd 0.0764 0.9236 0.2500
Nd 0.9236 0.0764 0.7500
Al 0.3197 0.6803 0.7500
Al 0.3725 0.6275 0.2500
Al 0.4749 0.5251 0.2500
Al 0.5251 0.4749 0.7500
Al 0.6275 0.3725 0.7500
Al 0.6803 0.3197 0.2500

## Properties
Total magnetization in μB/cell: 0.0
Energy of formation in eV/atom: -0.242